Here is a PBEsol-optimized structure of Tl2CoTc from Alexandria. Energies are from SCAN.

The structure in extended XYZ format:
```
4
Lattice="2.8898 0.0000 0.0000 0.0000 4.4633 0.0000 -1.4449 -2.2317 5.5348" Properties=species:S:1:pos:R:3 pbc="T T T"
Tl 0.0000 0.0000 0.1062
Tl 1.4449 0.0000 3.2026
Tc 0.0000 2.2317 2.0977
Co 1.4449 2.2317 0.1283
```

**DFT formation energy**: 0.72 eV per atom
**SG**: Imm2